a.
ReSn2Cl: optimized geometry, PBE.

a = 6.384 Å, b = 6.384 Å, c = 7.775 Å
α = 65.76°, β = 65.76°, γ = 90.00°
Fractional coordinates of all 8 atoms:
Re 0.000 0.000 0.000
Re 0.750 0.250 0.500
Sn 0.681 0.125 0.250
Sn 0.069 0.625 0.250
Sn 0.375 0.319 0.750
Sn 0.875 0.931 0.750
Cl 0.500 0.500 0.000
Cl 0.250 0.750 0.500

As for the space-group type: No. 122.

b.
ReSn2Cl: optimized geometry, PBE.

a = 4.985 Å, b = 4.985 Å, c = 4.985 Å
α = 60.00°, β = 60.00°, γ = 60.00°
Fractional coordinates of all 4 atoms:
Re 0.500 0.500 0.500
Sn 0.250 0.250 0.250
Sn 0.750 0.750 0.750
Cl 0.000 0.000 0.000

As for the space-group type: No. 225.

It is b that is the least stable of them.

a.
Ta2ReSnCl: optimized geometry, PBE.

a = 5.203 Å, b = 4.808 Å, c = 5.203 Å
α = 90.00°, β = 90.00°, γ = 90.00°
Fractional coordinates of all 5 atoms:
Re 0.500 0.500 0.500
Cl 0.000 0.500 0.000
Sn 0.000 0.000 0.000
Ta 0.000 0.000 0.500
Ta 0.500 0.000 0.000

As for the space-group type: No. 123.

b.
Ta2ReSnCl: optimized geometry, PBE.

a = 4.949 Å, b = 4.949 Å, c = 5.180 Å
α = 90.00°, β = 90.00°, γ = 90.00°
Fractional coordinates of all 5 atoms:
Re 0.000 0.000 0.000
Cl 0.500 0.500 0.500
Sn 0.000 0.000 0.500
Ta 0.000 0.500 0.000
Ta 0.500 0.000 0.000

As for the space-group type: No. 123.

It is a that is the least stable of them.

a.
SrReCl2: optimized geometry, PBE.

a = 5.353 Å, b = 5.353 Å, c = 5.353 Å
α = 60.00°, β = 60.00°, γ = 60.00°
Fractional coordinates of all 4 atoms:
Re 0.500 0.500 0.500
Cl 0.000 0.000 0.000
Cl 0.250 0.250 0.250
Sr 0.750 0.750 0.750

As for the space-group type: No. 216.

b.
SrReCl2: optimized geometry, PBE.

a = 6.521 Å, b = 6.521 Å, c = 5.472 Å
α = 93.55°, β = 93.55°, γ = 31.81°
Fractional coordinates of all 4 atoms:
Re 0.750 0.750 0.750
Cl 0.905 0.905 0.011
Cl 0.595 0.595 0.489
Sr 0.250 0.250 0.250

As for the space-group type: No. 12.

It is a that is the least stable of them.

a.
Sr2ReCl: optimized geometry, PBE.

a = 3.896 Å, b = 3.896 Å, c = 9.122 Å
α = 81.08°, β = 81.08°, γ = 51.37°
Fractional coordinates of all 4 atoms:
Cl 0.250 0.250 0.250
Re 0.750 0.750 0.750
Sr 0.992 0.992 0.997
Sr 0.508 0.508 0.503

As for the space-group type: No. 12.

b.
Sr2ReCl: optimized geometry, PBE.

a = 3.513 Å, b = 3.513 Å, c = 8.501 Å
α = 90.00°, β = 90.00°, γ = 90.15°
Fractional coordinates of all 4 atoms:
Cl 0.500 0.500 0.250
Re 0.500 0.500 0.750
Sr 0.000 0.000 0.989
Sr 0.000 0.000 0.511

As for the space-group type: No. 65.

c.
Sr2ReCl: optimized geometry, PBE.

a = 5.385 Å, b = 5.385 Å, c = 5.385 Å
α = 60.00°, β = 60.00°, γ = 60.00°
Fractional coordinates of all 4 atoms:
Cl 0.500 0.500 0.500
Re 0.750 0.750 0.750
Sr 0.000 0.000 0.000
Sr 0.250 0.250 0.250

As for the space-group type: No. 216.

It is c that is the least stable of them.

a.
SrReCl3: optimized geometry, PBE.

a = 4.898 Å, b = 4.898 Å, c = 4.898 Å
α = 90.00°, β = 90.00°, γ = 90.00°
Fractional coordinates of all 5 atoms:
Re 0.000 0.000 0.000
Cl 0.000 0.500 0.000
Cl 0.000 0.000 0.500
Cl 0.500 0.000 0.000
Sr 0.500 0.500 0.500

As for the space-group type: No. 221.

b.
SrReCl3: optimized geometry, PBE.

a = 5.635 Å, b = 5.635 Å, c = 5.635 Å
α = 90.00°, β = 90.00°, γ = 90.00°
Fractional coordinates of all 5 atoms:
Re 0.500 0.500 0.500
Cl 0.000 0.500 0.000
Cl 0.000 0.000 0.500
Cl 0.500 0.000 0.000
Sr 0.000 0.000 0.000

As for the space-group type: No. 221.

It is b that is the least stable of them.

a.
SrRe3Cl: optimized geometry, PBE.

a = 6.101 Å, b = 6.101 Å, c = 6.101 Å
α = 90.00°, β = 90.00°, γ = 90.00°
Fractional coordinates of all 5 atoms:
Re 0.000 0.500 0.000
Re 0.000 0.000 0.500
Re 0.500 0.000 0.000
Cl 0.500 0.500 0.500
Sr 0.000 0.000 0.000

As for the space-group type: No. 221.

b.
SrRe3Cl: optimized geometry, PBE.

a = 4.549 Å, b = 4.549 Å, c = 4.549 Å
α = 90.00°, β = 90.00°, γ = 90.00°
Fractional coordinates of all 5 atoms:
Re 0.000 0.500 0.000
Re 0.000 0.000 0.500
Re 0.500 0.000 0.000
Cl 0.000 0.000 0.000
Sr 0.500 0.500 0.500

As for the space-group type: No. 221.

It is a that is the least stable of them.

a.
Ta2ReCl: optimized geometry, PBE.

a = 3.158 Å, b = 3.158 Å, c = 7.934 Å
α = 90.00°, β = 90.00°, γ = 90.00°
Fractional coordinates of all 4 atoms:
Cl 0.000 0.000 0.452
Re 0.500 0.500 0.826
Ta 0.000 0.000 0.995
Ta 0.500 0.500 0.228

As for the space-group type: No. 99.

b.
Ta2ReCl: optimized geometry, PBE.

a = 4.751 Å, b = 4.751 Å, c = 2.963 Å
α = 90.00°, β = 90.00°, γ = 90.01°
Fractional coordinates of all 4 atoms:
Cl 0.500 0.000 0.500
Re 0.000 0.500 0.500
Ta 0.000 0.000 0.000
Ta 0.500 0.500 0.000

As for the space-group type: No. 123.

It is b that is the least stable of them.

a.
TaRe2Cl: optimized geometry, PBE.

a = 5.512 Å, b = 5.512 Å, c = 2.746 Å
α = 90.00°, β = 90.00°, γ = 126.35°
Fractional coordinates of all 4 atoms:
Cl 0.000 0.500 0.500
Re 0.000 0.000 0.000
Re 0.500 0.500 0.000
Ta 0.500 0.000 0.500

As for the space-group type: No. 65.

b.
TaRe2Cl: optimized geometry, PBE.

a = 5.054 Å, b = 5.054 Å, c = 5.054 Å
α = 134.70°, β = 134.70°, γ = 66.00°
Fractional coordinates of all 4 atoms:
Cl 0.750 0.250 0.500
Re 0.000 0.000 0.000
Re 0.250 0.750 0.500
Ta 0.500 0.500 0.000

As for the space-group type: No. 119.

c.
TaRe2Cl: optimized geometry, PBE.

a = 4.581 Å, b = 2.821 Å, c = 5.452 Å
α = 66.52°, β = 90.00°, γ = 90.00°
Fractional coordinates of all 4 atoms:
Cl 0.500 0.750 0.750
Re 0.000 0.798 0.006
Re 0.000 0.702 0.494
Ta 0.500 0.250 0.250

As for the space-group type: No. 10.

d.
TaRe2Cl: optimized geometry, PBE.

a = 9.656 Å, b = 9.656 Å, c = 9.656 Å
α = 17.26°, β = 17.26°, γ = 17.26°
Fractional coordinates of all 4 atoms:
Cl 0.766 0.766 0.766
Re 0.987 0.987 0.987
Re 0.249 0.249 0.249
Ta 0.498 0.498 0.498

As for the space-group type: No. 160.

It is b that is the least stable of them.

a.
Ta3ReCl: optimized geometry, PBE.

a = 4.470 Å, b = 4.470 Å, c = 4.470 Å
α = 90.00°, β = 90.00°, γ = 90.00°
Fractional coordinates of all 5 atoms:
Re 0.500 0.500 0.500
Cl 0.000 0.000 0.000
Ta 0.000 0.500 0.000
Ta 0.000 0.000 0.500
Ta 0.500 0.000 0.000

As for the space-group type: No. 221.

b.
Ta3ReCl: optimized geometry, PBE.

a = 4.924 Å, b = 4.924 Å, c = 4.924 Å
α = 90.00°, β = 90.00°, γ = 90.00°
Fractional coordinates of all 5 atoms:
Re 0.000 0.000 0.000
Cl 0.500 0.500 0.500
Ta 0.000 0.500 0.000
Ta 0.000 0.000 0.500
Ta 0.500 0.000 0.000

As for the space-group type: No. 221.

It is b that is the least stable of them.

a.
ReTc2Cl: optimized geometry, PBE.

a = 4.388 Å, b = 4.388 Å, c = 4.388 Å
α = 60.00°, β = 60.00°, γ = 60.00°
Fractional coordinates of all 4 atoms:
Cl 0.500 0.500 0.500
Re 0.750 0.750 0.750
Tc 0.000 0.000 0.000
Tc 0.250 0.250 0.250

As for the space-group type: No. 216.

b.
ReTc2Cl: optimized geometry, PBE.

a = 4.300 Å, b = 4.300 Å, c = 4.300 Å
α = 111.49°, β = 111.49°, γ = 105.50°
Fractional coordinates of all 4 atoms:
Cl 0.250 0.750 0.500
Re 0.750 0.250 0.500
Tc 0.000 0.000 0.000
Tc 0.500 0.500 0.000

As for the space-group type: No. 139.

It is b that is the least stable of them.

a.
ReTc2Cl: optimized geometry, PBE.

a = 4.000 Å, b = 2.851 Å, c = 5.410 Å
α = 74.62°, β = 90.00°, γ = 90.00°
Fractional coordinates of all 4 atoms:
Cl 0.000 0.703 0.478
Re 0.500 0.563 0.751
Tc 0.000 0.922 0.028
Tc 0.500 0.313 0.243

As for the space-group type: No. 6.

b.
ReTc2Cl: optimized geometry, PBE.

a = 2.865 Å, b = 2.865 Å, c = 7.248 Å
α = 90.00°, β = 90.00°, γ = 90.00°
Fractional coordinates of all 4 atoms:
Cl 0.000 0.000 0.492
Re 0.500 0.500 0.759
Tc 0.000 0.000 0.996
Tc 0.500 0.500 0.252

As for the space-group type: No. 99.

c.
ReTc2Cl: optimized geometry, PBE.

a = 5.554 Å, b = 5.554 Å, c = 6.604 Å
α = 65.13°, β = 65.13°, γ = 90.00°
Fractional coordinates of all 8 atoms:
Re 0.000 0.000 0.000
Re 0.750 0.250 0.500
Tc 0.617 0.125 0.250
Tc 0.133 0.625 0.250
Tc 0.375 0.383 0.750
Tc 0.875 0.867 0.750
Cl 0.500 0.500 0.000
Cl 0.250 0.750 0.500

As for the space-group type: No. 122.

d.
ReTc2Cl: optimized geometry, PBE.

a = 2.871 Å, b = 4.590 Å, c = 4.494 Å
α = 90.00°, β = 90.00°, γ = 90.00°
Fractional coordinates of all 4 atoms:
Cl 0.500 0.000 0.500
Re 0.000 0.500 0.500
Tc 0.000 0.000 0.000
Tc 0.500 0.500 0.000

As for the space-group type: No. 47.

It is c that is the least stable of them.

a.
ReTc2Cl: optimized geometry, PBE.

a = 4.548 Å, b = 4.548 Å, c = 2.881 Å
α = 90.00°, β = 90.00°, γ = 90.08°
Fractional coordinates of all 4 atoms:
Cl 0.500 0.000 0.500
Re 0.000 0.500 0.500
Tc 0.000 0.000 0.000
Tc 0.500 0.500 0.000

As for the space-group type: No. 65.

b.
ReTc2Cl: optimized geometry, PBE.

a = 5.167 Å, b = 5.167 Å, c = 5.167 Å
α = 147.53°, β = 128.71°, γ = 62.02°
Fractional coordinates of all 4 atoms:
Cl 0.750 0.250 0.500
Re 0.250 0.750 0.500
Tc 0.979 0.979 0.000
Tc 0.521 0.521 0.000

As for the space-group type: No. 71.

It is a that is the least stable of them.